The following is a PBE with a Hubbard U calculation of a relaxed InWIO2 crystal, from Alexandria via LeMat-Bulk.

Summary:
Theoretical density in g/cm3: 7.40
Offset from the most stable computed form in meV/atom: 0.0
Energy in eV per atom: -4.952

Lattice parameters (Å, degrees): 4.208 4.208 5.801 90.00 90.00 90.00
Positions (direct):
In 0.000 0.000 0.000
W 0.500 0.500 0.500
I 0.500 0.500 0.000
O 0.000 0.500 0.500
O 0.500 0.000 0.500

The following is a PBE with a Hubbard U calculation of a relaxed FeBiPtO6 crystal, from Alexandria via LeMat-Bulk.

Summary:
Theoretical density in g/cm3: 8.16
Energy in eV per atom: -5.922

Lattice parameters (Å, degrees): 5.244 5.244 9.498 90.00 90.00 120.00
Positions (direct):
Fe 0.333 0.667 0.250
Fe 0.667 0.333 0.750
Bi 0.000 0.000 0.000
Bi 0.000 0.000 0.500
Pt 0.333 0.667 0.750
Pt 0.667 0.333 0.250
O 0.002 0.360 0.635
O 0.002 0.642 0.865
O 0.358 0.360 0.865
O 0.358 0.998 0.635
O 0.360 0.002 0.135
O 0.360 0.358 0.365
O 0.640 0.642 0.635
O 0.640 0.998 0.865
O 0.642 0.002 0.365
O 0.642 0.640 0.135
O 0.998 0.358 0.135
O 0.998 0.640 0.365